A relaxed Nd2FeBiO6 crystal, computed with PBE with a Hubbard U.

Computed properties:
**Space group**: No. 99
**Total DFT energy (no corrections)**: -7.050 eV/atom

CIF file:
```
data_Nd2FeBiO6
_space_group_name_H-M_alt 'P 1'
_space_group_IT_number 1
_cell_length_a 5.4193
_cell_length_b 5.4568
_cell_length_c 5.4568
_cell_angle_alpha 90.00
_cell_angle_beta 90.00
_cell_angle_gamma 90.00
loop_
_space_group_symop_operation_xyz
'x,y,z'
loop_
_atom_site_label
_atom_site_type_symbol
_atom_site_fract_x
_atom_site_fract_y
_atom_site_fract_z
Nd1 Nd 0.9893 0.5000 0.0000
Nd2 Nd 0.9893 0.0000 0.5000
Fe1 Fe 0.5889 0.0000 0.0000
Bi1 Bi 0.5527 0.5000 0.5000
O1 O 0.7400 0.2370 0.2370
O2 O 0.7400 0.2370 0.7630
O3 O 0.1283 0.5000 0.5000
O4 O 0.2383 0.0000 0.0000
O5 O 0.7400 0.7630 0.7630
O6 O 0.7400 0.7630 0.2370
```